Density functional theory data (PBE-GGA) for TbDy3As4 after structural relaxation.

abc: 7.1312 7.1312 4.1188
angles: 90.00 90.00 109.48
With the nearest neighbours (Å) after each atom.
Atoms (fractional coordinates):
Tb 0.0000 0.0000 0.0000  6 As 2.92
Dy 0.0000 0.5000 0.5000  6 As 2.91
Dy 0.5000 0.0000 0.5000  6 As 2.91
Dy 0.5000 0.5000 0.0000  6 As 2.91
As 0.2504 0.7496 0.0000  5 Dy 2.91, 1 Tb 2.92
As 0.2509 0.2509 0.5000  4 Dy 2.91, 2 Tb 2.92
As 0.7491 0.7491 0.5000  4 Dy 2.91, 2 Tb 2.92
As 0.7496 0.2504 0.0000  5 Dy 2.91, 1 Tb 2.92

SG: No. 65
Final energy: -0.2266 hartree per atom